# 1
Computed, not measured: crystalline Ca2Ga5AgPd2 at its relaxed geometry at the PBE level of DFT.

a = 9.638 Å, b = 9.638 Å, c = 4.165 Å
α = 90.00°, β = 90.00°, γ = 90.00°
Atoms (fractional coordinates):
Ca 0.184 0.316 0.000
Ca 0.316 0.816 0.000
Ca 0.684 0.184 0.000
Ca 0.816 0.684 0.000
Ga 0.000 0.500 0.500
Ga 0.057 0.798 0.500
Ga 0.202 0.057 0.500
Ga 0.298 0.557 0.500
Ga 0.443 0.298 0.500
Ga 0.500 0.000 0.500
Ga 0.557 0.702 0.500
Ga 0.702 0.443 0.500
Ga 0.798 0.943 0.500
Ga 0.943 0.202 0.500
Ag 0.000 0.000 0.000
Ag 0.500 0.500 0.000
Pd 0.112 0.612 0.000
Pd 0.388 0.112 0.000
Pd 0.612 0.888 0.000
Pd 0.888 0.388 0.000

=====

# 2
Computed, not measured: crystalline CaGa3AgPd at its relaxed geometry at the PBE level of DFT.

a = 7.224 Å, b = 7.224 Å, c = 5.998 Å
α = 90.00°, β = 90.00°, γ = 131.15°
Atoms (fractional coordinates):
Ca 0.206 0.794 0.750
Ca 0.794 0.206 0.250
Ga 0.214 0.214 0.000
Ga 0.214 0.214 0.500
Ga 0.365 0.635 0.250
Ga 0.635 0.365 0.750
Ga 0.786 0.786 0.000
Ga 0.786 0.786 0.500
Ag 0.159 0.841 0.250
Ag 0.841 0.159 0.750
Pd 0.415 0.585 0.750
Pd 0.585 0.415 0.250

=====

# 3
Computed, not measured: crystalline Ca2Ga2AgPd5 at its relaxed geometry at the PBE level of DFT.

a = 9.837 Å, b = 9.837 Å, c = 3.756 Å
α = 90.00°, β = 90.00°, γ = 90.00°
Atoms (fractional coordinates):
Ca 0.176 0.324 0.000
Ca 0.324 0.824 0.000
Ca 0.676 0.176 0.000
Ca 0.824 0.676 0.000
Ga 0.122 0.622 0.000
Ga 0.378 0.122 0.000
Ga 0.622 0.878 0.000
Ga 0.878 0.378 0.000
Ag 0.000 0.000 0.000
Ag 0.500 0.500 0.000
Pd 0.000 0.500 0.500
Pd 0.067 0.792 0.500
Pd 0.208 0.067 0.500
Pd 0.292 0.567 0.500
Pd 0.433 0.292 0.500
Pd 0.500 0.000 0.500
Pd 0.567 0.708 0.500
Pd 0.708 0.433 0.500
Pd 0.792 0.933 0.500
Pd 0.933 0.208 0.500

=====

# 4
Computed, not measured: crystalline CaGa4AgPd2 at its relaxed geometry at the PBE level of DFT.

a = 9.471 Å, b = 9.471 Å, c = 9.471 Å
α = 26.50°, β = 26.50°, γ = 26.50°
Atoms (fractional coordinates):
Ca 0.000 0.000 0.000
Ga 0.124 0.124 0.124
Ga 0.399 0.399 0.399
Ga 0.601 0.601 0.601
Ga 0.876 0.876 0.876
Ag 0.500 0.500 0.500
Pd 0.237 0.237 0.237
Pd 0.763 0.763 0.763

=====

# 5
Computed, not measured: crystalline CaGaAgPd at its relaxed geometry at the PBE level of DFT.

a = 4.762 Å, b = 4.762 Å, c = 4.762 Å
α = 60.00°, β = 60.00°, γ = 60.00°
Atoms (fractional coordinates):
Ca 0.000 0.000 0.000
Ga 0.500 0.500 0.500
Ag 0.750 0.750 0.750
Pd 0.250 0.250 0.250

=====

# 6
Computed, not measured: crystalline CaPmGaAg at its relaxed geometry at the PBE level of DFT.

a = 5.219 Å, b = 5.219 Å, c = 5.219 Å
α = 60.00°, β = 60.00°, γ = 60.00°
Atoms (fractional coordinates):
Ca 0.000 0.000 0.000
Pm 0.500 0.500 0.500
Ga 0.750 0.750 0.750
Ag 0.250 0.250 0.250

=====

# 7
Computed, not measured: crystalline CaPrGaAg at its relaxed geometry at the PBE level of DFT.

a = 5.263 Å, b = 5.263 Å, c = 5.263 Å
α = 60.00°, β = 60.00°, γ = 60.00°
Atoms (fractional coordinates):
Ca 0.000 0.000 0.000
Pr 0.500 0.500 0.500
Ga 0.750 0.750 0.750
Ag 0.250 0.250 0.250

=====

# 8
Computed, not measured: crystalline CaGaAgPt at its relaxed geometry at the PBE level of DFT.

a = 4.252 Å, b = 4.252 Å, c = 8.860 Å
α = 90.00°, β = 90.00°, γ = 90.00°
Atoms (fractional coordinates):
Ca 0.250 0.250 0.246
Ca 0.750 0.750 0.754
Ga 0.250 0.750 0.500
Ga 0.750 0.250 0.500
Ag 0.250 0.750 0.000
Ag 0.750 0.250 0.000
Pt 0.250 0.250 0.671
Pt 0.750 0.750 0.329

=====

Number 1: uncorrected energy -3.712 eV per atom. Number 2: uncorrected energy -3.527 eV per atom. Number 3: uncorrected energy -4.509 eV per atom. Number 4: uncorrected energy -3.839 eV per atom. Number 5: uncorrected energy -3.673 eV per atom. Number 6: uncorrected energy -3.581 eV per atom. Number 7: uncorrected energy -3.584 eV per atom. Number 8: uncorrected energy -4.010 eV per atom.